## ZrPW2 (PBE)

Data for crystalline ZrPW2 at its relaxed geometry.

density of states at the Fermi level: 4.243 states/eV/cell
size of the total moment: 0.00 Bohr magnetons per cell
E: -10.02 eV per atom
formation energy: -50 meV per atom

Cell lengths 3.366, 4.778, 8.294 Å; angles 90.00, 90.00, 90.00 degrees
Space group Cmm2 (No. 35)
Asymmetric unit:
Zr1 0.000 0.000 0.000
P1 0.000 0.500 0.239
W1 0.000 0.000 0.461
W2 0.000 0.500 0.716